(1)
Material: CoCu2AgBi
Method: DFT, PBE
State: optimized geometry

## Properties
The electronic total energy is -0.2249 Ry/atom. As for the formation energy: 1346.8 meV/atom. Its density of states at the Fermi level is 7.8 states/eV per cell. The calculation puts the total magnetization at 2.54 μB per cell. Its space-group type is P4/mmm.

Cell lengths 4.9216, 5.4170, 4.9216 Å; angles 90.00, 90.00, 90.00 degrees
Last column: magnetic moment on the atom in μB.
Fractional positions:
Cu1 0.0000 0.0000 0.5000  0.03
Cu2 0.5000 0.0000 0.0000  0.04
Co1 0.5000 0.5000 0.5000  2.27
Bi1 0.0000 0.0000 0.0000  0.05
Ag1 0.0000 0.5000 0.0000  0.01

(2)
Material: SbPbSeI2
Method: DFT, PBE
State: optimized geometry

## Properties
The electronic total energy is -0.1704 Ry/atom. Its density of states at the Fermi level is 3.6 states/eV per cell. For the energy above the lowest structure with this stoichiometry, the calculation gives 5.55 kcal/mol of atoms. The calculation puts the total magnetization at 0.23 μB per cell. Its space-group type is P4/mmm. For the uncorrected formation energy, the calculation gives 2.82 eV/f.u.

Cell lengths 6.0923, 6.0923, 6.2492 Å; angles 90.00, 90.00, 90.00 degrees
Last column: magnetic moment on the atom in μB.
Fractional positions:
Pb1 0.0000 0.0000 0.0000  -0.01
I1 0.0000 0.5000 0.0000  0.00
I2 0.5000 0.0000 0.0000  0.00
Se1 0.5000 0.5000 0.5000  0.97
Sb1 0.0000 0.0000 0.5000  -0.54

(3)
Material: YCoW2
Method: DFT, PBE
State: optimized geometry

## Properties
The electronic total energy is -0.6876 Ry/atom. As for the formation energy: 513.3 meV/atom. Its density of states at the Fermi level is 3.5 states/eV per cell. For the energy above the lowest structure with this stoichiometry, the calculation gives 5.40 kcal/mol of atoms. The calculation puts the total magnetization at 0.00 μB per cell. Its space-group type is I4/mmm.

Cell lengths 5.5169, 5.5169, 5.5169 Å; angles 139.55, 139.55, 58.54 degrees
Fractional positions:
Co1 0.7500 0.2500 0.5000
W1 0.0000 0.0000 0.0000
W2 0.5000 0.5000 0.0000
Y1 0.2500 0.7500 0.5000

(4)
Material: Nd3CuIr8
Method: DFT, PBE
State: optimized geometry

## Properties
The electronic total energy is -0.5787 Ry/atom. As for the formation energy: -433.1 meV/atom. Its density of states at the Fermi level is 13.8 states/eV per cell. The calculation puts the total magnetization at 0.00 μB per cell. Its space-group type is R3m.

Cell lengths 5.3937, 5.3937, 9.3001 Å; angles 73.14, 73.14, 60.00 degrees
Fractional positions:
Nd1 0.6232 0.6232 0.1304
Nd2 0.0078 0.0078 0.9767
Nd3 0.4941 0.4941 0.5177
Cu1 0.1387 0.1387 0.5838
Ir1 0.5616 0.0628 0.8140
Ir2 0.0601 0.5592 0.3205
Ir3 0.5616 0.5616 0.8140
Ir4 0.0601 0.0601 0.3205
Ir5 0.8101 0.8101 0.5697
Ir6 0.3107 0.3107 0.0680
Ir7 0.0628 0.5616 0.8140
Ir8 0.5592 0.0601 0.3205

(5)
Material: PrHfPt
Method: DFT, PBE
State: optimized geometry

## Properties
The electronic total energy is -0.5559 Ry/atom. As for the formation energy: -638.3 meV/atom. Its density of states at the Fermi level is 3.6 states/eV per cell. For the energy above the lowest structure with this stoichiometry, the calculation gives 4.84 kcal/mol of atoms. The calculation puts the total magnetization at 0.00 μB per cell. Its space-group type is I4mm.

Cell lengths 3.4676, 3.4676, 6.5678 Å; angles 105.31, 105.31, 90.00 degrees
Fractional positions:
Pr1 0.9951 0.9951 0.9901
Hf1 0.7053 0.7053 0.4107
Pt1 0.2996 0.2996 0.5992

(6)
Material: Pr12Nd2Tm5
Method: DFT, PBE
State: optimized geometry

## Properties
The electronic total energy is -0.3312 Ry/atom. As for the formation energy: 191.1 meV/atom. Its density of states at the Fermi level is 21.2 states/eV per cell. For the energy above the lowest structure with this stoichiometry, the calculation gives 1.87 kcal/mol of atoms. The calculation puts the total magnetization at 0.00 μB per cell. Its space-group type is C2/m.

Cell lengths 9.4858, 11.7844, 8.9886 Å; angles 128.79, 90.00, 113.73 degrees
Fractional positions:
Pr1 0.0820 0.1641 0.2446
Pr2 0.0767 0.7649 0.0692
Pr3 0.6882 0.7649 0.0692
Pr4 0.0790 0.6543 0.3843
Pr5 0.5754 0.6543 0.3843
Pr6 0.4778 0.9557 0.6279
Pr7 0.5222 0.0443 0.3721
Pr8 0.9210 0.3457 0.6157
Pr9 0.4246 0.3457 0.6157
Pr10 0.9233 0.2351 0.9308
Pr11 0.3118 0.2351 0.9308
Pr12 0.9180 0.8359 0.7554
Nd1 0.6744 0.0000 0.0000
Nd2 0.3256 0.0000 0.0000
Tm1 0.3105 0.6210 0.6734
Tm2 0.2842 0.5685 0.0102
Tm3 0.0000 0.0000 0.5000
Tm4 0.7158 0.4315 0.9898
Tm5 0.6895 0.3790 0.3266